No. 1
Sr2ZnRh | PBE-GGA | optimized geometry

energy relative to the elements = -0.58 eV/f.u.

a = 3.586 Å, b = 3.586 Å, c = 8.730 Å
α = 90.00°, β = 90.00°, γ = 90.00°
Space group P4mm (No. 99)
Inequivalent atoms, fractional coordinates:
Sr: 0.000 0.000 0.000 x1
Sr: 0.500 0.500 0.417 x1
Zn: 0.000 0.000 0.661 x1
Rh: 0.500 0.500 0.756 x1

No. 2
CaSbPI2 | PBE-GGA | optimized geometry

E_form (uncorrected) = -2.069 kcal/mol of atoms

a = 5.409 Å, b = 5.409 Å, c = 5.549 Å
α = 90.00°, β = 90.00°, γ = 90.00°
Space group P4/mmm (No. 123)
Inequivalent atoms, fractional coordinates:
Ca: 0.000 0.000 0.000 x1
Sb: 0.500 0.500 0.000 x1
P: 0.500 0.500 0.500 x1
I: 0.000 0.500 0.500 x2

No. 3
AcSm3Dy12 | PBE-GGA | optimized geometry

energy relative to the elements = 0.47 eV/f.u.

a = 5.069 Å, b = 5.069 Å, c = 20.291 Å
α = 90.00°, β = 90.00°, γ = 90.00°
Space group P4/mmm (No. 123)
Inequivalent atoms, fractional coordinates:
Ac: 0.000 0.000 0.000 x1
Sm: 0.000 0.000 0.252 x2
Sm: 0.000 0.000 0.500 x1
Dy: 0.000 0.500 0.130 x4
Dy: 0.000 0.500 0.377 x4
Dy: 0.500 0.500 0.000 x1
Dy: 0.500 0.500 0.253 x2
Dy: 0.500 0.500 0.500 x1

No. 4
Li2PuSn | PBE-GGA | optimized geometry

energy relative to the elements = 0.58 eV/f.u.

a = 3.1779 Å, b = 3.1779 Å, c = 33.5367 Å
α = 90.00°, β = 90.00°, γ = 120.00°
Space group R-3m (No. 166, hexagonal axes)
Inequivalent atoms, fractional coordinates:
Li: 0.0000 0.0000 0.0955 x6
Pu: 0.0000 0.0000 0.0000 x3
Sn: 0.0000 0.0000 0.5000 x3

Number 1: V 28.07 Å³/atom. Number 2: V 32.47 Å³/atom. Number 3: V 32.58 Å³/atom. Number 4: V 24.44 Å³/atom.